Entry 1:
## Mg2BeV (GGA-PBE)

Data for a relaxed Mg2BeV crystal.

Properties
As for the total energy: -13.2 eV/f.u. As for the crystal system: tetragonal. The calculation puts the volume at 282 Å³ per cell.

Unit cell a=7.303 b=7.303 c=5.287 alpha=90.00 beta=90.00 gamma=90.00
Space group I-42d (No. 122)
Unique sites:
Mg1 0.203 0.250 0.125 x8
Be1 0.000 0.000 0.000 x4
V1 0.000 0.000 0.500 x4

=====

Entry 2:
## MgBeV2 (GGA-PBE)

Data for a relaxed MgBeV2 crystal.

Properties
As for the total energy: -20.0 eV/f.u. The energy relative to the lowest polymorph listed for this composition comes out at 363.2 meV per atom. As for the crystal system: tetragonal. The calculation puts the volume at 257 Å³ per cell.

Unit cell a=3.732 b=3.732 c=18.459 alpha=90.00 beta=90.00 gamma=90.00
Space group I-42d (No. 122)
Unique sites:
Mg1 0.000 0.000 0.000 x4
Be1 0.000 0.000 0.500 x4
V1 0.119 0.750 0.625 x8

=====

Entry 3:
## MgBeV3 (GGA-PBE)

Data for a relaxed MgBeV3 crystal.

Properties
As for the total energy: -29.4 eV/f.u. The energy relative to the lowest polymorph listed for this composition comes out at 0.0 meV per atom. As for the crystal system: cubic. The calculation puts the volume at 74 Å³ per cell.

Unit cell a=4.208 b=4.208 c=4.208 alpha=90.00 beta=90.00 gamma=90.00
Space group Pm-3m (No. 221)
Unique sites:
Mg1 0.000 0.000 0.000 x1
Be1 0.500 0.500 0.500 x1
V1 0.000 0.500 0.500 x3

=====

Entry 4:
## Mg3BeV (GGA-PBE)

Data for a relaxed Mg3BeV crystal.

Properties
As for the total energy: -10.8 eV/f.u. The energy relative to the lowest polymorph listed for this composition comes out at 665.5 meV per atom. As for the crystal system: cubic. The calculation puts the volume at 138 Å³ per cell.

Unit cell a=5.169 b=5.169 c=5.169 alpha=90.00 beta=90.00 gamma=90.00
Space group Pm-3m (No. 221)
Unique sites:
Mg1 0.000 0.000 0.500 x3
Be1 0.500 0.500 0.500 x1
V1 0.000 0.000 0.000 x1

=====

| no. | energy of formation from the pure elements (kJ per mole of atoms) |
| --- | --- |
| 1 | 67.59 |
| 2 | 85.82 |
| 3 | 62.27 |
| 4 | 130.86 |